Below is an optimized crystal structure of TmTiTcRh, with properties calculated at the PBE-GGA level.

Summary:
- volume (A^3/atom) = 16.89
- E_tot (eV per atom) = -8.0329
- size of the total moment (μB per formula unit) = 0.0
- energy of formation (eV per atom) = -0.5120
- space group = F-43m

```
4
Lattice="0.000 3.233 3.233 3.233 0.000 3.233 3.233 3.233 0.000" Properties=species:S:1:pos:R:3 pbc="T T T"
Tm 0.000 0.000 0.000
Ti 3.233 3.233 3.233
Tc 4.849 4.849 4.849
Rh 1.616 1.616 1.616
```


Below is an optimized crystal structure of UTiTcRh, with properties calculated at the PBE-GGA level.

Summary:
- volume (A^3/atom) = 17.27
- E_tot (eV per atom) = -9.5534
- size of the total moment (μB per formula unit) = 2.1
- energy of formation (eV per atom) = -0.3283
- space group = F-43m

```
4
Lattice="0.000 3.257 3.257 3.257 0.000 3.257 3.257 3.257 0.000" Properties=species:S:1:pos:R:3 pbc="T T T"
U 0.000 0.000 0.000
Ti 3.257 3.257 3.257
Tc 1.628 1.628 1.628
Rh 4.885 4.885 4.885
```


Below is an optimized crystal structure of TiVTcRh2, with properties calculated at the PBE-GGA level.

Summary:
- volume (A^3/atom) = 17.46
- E_tot (eV per atom) = -7.8144
- size of the total moment (μB per formula unit) = 0.0
- energy of formation (eV per atom) = 0.6021
- space group = P4/mmm

```
5
Lattice="4.452 0.000 0.000 0.000 4.452 0.000 0.000 0.000 4.404" Properties=species:S:1:pos:R:3 pbc="T T T"
Ti 0.000 0.000 0.000
V 2.226 2.226 2.202
Tc 2.226 2.226 0.000
Rh 0.000 2.226 2.202
Rh 2.226 0.000 2.202
```


Below is an optimized crystal structure of TiVTcRh, with properties calculated at the PBE-GGA level.

Summary:
- volume (A^3/atom) = 14.36
- E_tot (eV per atom) = -9.1686
- size of the total moment (μB per formula unit) = 0.2
- energy of formation (eV per atom) = -0.4858
- space group = F-43m

```
4
Lattice="0.000 3.062 3.062 3.062 0.000 3.062 3.062 3.062 0.000" Properties=species:S:1:pos:R:3 pbc="T T T"
Ti 0.000 0.000 0.000
V 3.062 3.062 3.062
Tc 4.593 4.593 4.593
Rh 1.531 1.531 1.531
```


Please write out number 4 again, unchanged.
Below is an optimized crystal structure of TiVTcRh, with properties calculated at the PBE-GGA level.

Summary:
- volume (A^3/atom) = 14.36
- E_tot (eV per atom) = -9.1686
- size of the total moment (μB per formula unit) = 0.2
- energy of formation (eV per atom) = -0.4858
- space group = F-43m

```
4
Lattice="0.000 3.062 3.062 3.062 0.000 3.062 3.062 3.062 0.000" Properties=species:S:1:pos:R:3 pbc="T T T"
Ti 0.000 0.000 0.000
V 3.062 3.062 3.062
Tc 4.593 4.593 4.593
Rh 1.531 1.531 1.531
```